Record 1
# AcSm2Y6, relaxed, DFT PBE
# - formation energy from the elements (eV/atom) = 0.260
# - volume (Å³ per atom) = 36.21
# - density of states at the Fermi level (states/eV/f.u.) = 14.9
# - total DFT energy (no corrections) (eV for the cell shown) = -99.99
data_AcSm2Y6
_chemical_formula_sum 'Ac2 Sm4 Y12'
_space_group_name_H-M_alt 'P 1 21/c 1'
_space_group_IT_number 14
_cell_length_a 8.753
_cell_length_b 6.000
_cell_length_c 12.733
_cell_angle_alpha 90.00
_cell_angle_beta 102.89
_cell_angle_gamma 90.00
loop_
_space_group_symop_operation_xyz
'x,y,z'
'-x,-y,-z'
'-x,y+1/2,-z+1/2'
'x,-y+1/2,z+1/2'
loop_
_atom_site_label
_atom_site_type_symbol
_atom_site_fract_x
_atom_site_fract_y
_atom_site_fract_z
Ac1 Ac 0.000 0.000 0.000
Sm1 Sm 0.443 0.164 0.166
Y1 Y 0.133 0.727 0.762
Y2 Y 0.281 0.199 0.875
Y3 Y 0.342 0.655 0.039

Record 2
# Ac7Sm3Y, relaxed, DFT PBE
# - formation energy from the elements (eV/atom) = 0.272
# - volume (Å³ per atom) = 42.81
# - density of states at the Fermi level (states/eV/f.u.) = 17.4
# - total DFT energy (no corrections) (eV for the cell shown) = -92.78
data_Ac7Sm3Y
_chemical_formula_sum 'Ac14 Sm6 Y2'
_space_group_name_H-M_alt 'C 1 2/m 1'
_space_group_IT_number 12
_cell_length_a 12.289
_cell_length_b 11.146
_cell_length_c 6.924
_cell_angle_alpha 90.00
_cell_angle_beta 96.79
_cell_angle_gamma 90.00
loop_
_space_group_symop_operation_xyz
'x,y,z'
'-x,-y,-z'
'-x,y,-z'
'x,-y,z'
'x+1/2,y+1/2,z'
'-x+1/2,-y+1/2,-z'
'-x+1/2,y+1/2,-z'
'x+1/2,-y+1/2,z'
loop_
_atom_site_label
_atom_site_type_symbol
_atom_site_fract_x
_atom_site_fract_y
_atom_site_fract_z
Ac1 Ac 0.000 0.000 0.000
Ac2 Ac 0.237 0.500 0.227
Ac3 Ac 0.248 0.329 0.740
Sm1 Sm 0.000 0.338 0.000
Sm2 Sm 0.000 0.500 0.500
Y1 Y 0.000 0.000 0.500

Record 3
# Ac2Sm2Y7, relaxed, DFT PBE
# - formation energy from the elements (eV/atom) = 0.175
# - volume (Å³ per atom) = 35.50
# - density of states at the Fermi level (states/eV/f.u.) = 18.8
# - total DFT energy (no corrections) (eV for the cell shown) = -121.96
data_Ac2Sm2Y7
_chemical_formula_sum 'Ac4 Sm4 Y14'
_space_group_name_H-M_alt 'C 1 2/m 1'
_space_group_IT_number 12
_cell_length_a 11.692
_cell_length_b 11.762
_cell_length_c 6.229
_cell_angle_alpha 90.00
_cell_angle_beta 114.23
_cell_angle_gamma 90.00
loop_
_space_group_symop_operation_xyz
'x,y,z'
'-x,-y,-z'
'-x,y,-z'
'x,-y,z'
'x+1/2,y+1/2,z'
'-x+1/2,-y+1/2,-z'
'-x+1/2,y+1/2,-z'
'x+1/2,-y+1/2,z'
loop_
_atom_site_label
_atom_site_type_symbol
_atom_site_fract_x
_atom_site_fract_y
_atom_site_fract_z
Ac1 Ac 0.000 0.213 0.000
Sm1 Sm 0.245 0.000 0.084
Y1 Y 0.000 0.000 0.500
Y2 Y 0.097 0.500 0.314
Y3 Y 0.172 0.234 0.664

Record 4
# Ac4Sm3Y, relaxed, DFT PBE
# - formation energy from the elements (eV/atom) = 0.149
# - volume (Å³ per atom) = 39.33
# - density of states at the Fermi level (states/eV/f.u.) = 12.2
# - total DFT energy (no corrections) (eV for the cell shown) = -71.72
data_Ac4Sm3Y
_chemical_formula_sum 'Ac8 Sm6 Y2'
_space_group_name_H-M_alt 'I m m m'
_space_group_IT_number 71
_space_group_name_Hall '-I 2 2'
_cell_length_a 3.698
_cell_length_b 12.090
_cell_length_c 14.072
_cell_angle_alpha 90.00
_cell_angle_beta 90.00
_cell_angle_gamma 90.00
loop_
_atom_site_label
_atom_site_type_symbol
_atom_site_fract_x
_atom_site_fract_y
_atom_site_fract_z
Ac1 Ac 0.000 0.249 0.131
Sm1 Sm 0.000 0.000 0.268
Sm2 Sm 0.000 0.500 0.500
Y1 Y 0.000 0.500 0.000

Record 5
# AcSm5Y3, relaxed, DFT PBE
# - formation energy from the elements (eV/atom) = 0.486
# - volume (Å³ per atom) = 39.19
# - density of states at the Fermi level (states/eV/f.u.) = 14.6
# - total DFT energy (no corrections) (eV for the cell shown) = -170.89
data_AcSm5Y3
_chemical_formula_sum 'Ac4 Sm20 Y12'
_space_group_name_H-M_alt 'C 1 2/m 1'
_space_group_IT_number 12
_cell_length_a 15.544
_cell_length_b 11.611
_cell_length_c 10.141
_cell_angle_alpha 90.00
_cell_angle_beta 129.57
_cell_angle_gamma 90.00
loop_
_space_group_symop_operation_xyz
'x,y,z'
'-x,-y,-z'
'-x,y,-z'
'x,-y,z'
'x+1/2,y+1/2,z'
'-x+1/2,-y+1/2,-z'
'-x+1/2,y+1/2,-z'
'x+1/2,-y+1/2,z'
loop_
_atom_site_label
_atom_site_type_symbol
_atom_site_fract_x
_atom_site_fract_y
_atom_site_fract_z
Ac1 Ac 0.250 0.000 0.085
Sm1 Sm 0.000 0.245 0.500
Sm2 Sm 0.141 0.248 0.251
Sm3 Sm 0.226 0.500 0.548
Sm4 Sm 0.230 0.000 0.726
Y1 Y 0.000 0.000 0.000
Y2 Y 0.000 0.500 0.500
Y3 Y 0.007 0.000 0.326
Y4 Y 0.010 0.500 0.852

Record 6
# AcSm4Y4, relaxed, DFT PBE
# - formation energy from the elements (eV/atom) = 0.030
# - volume (Å³ per atom) = 34.16
# - density of states at the Fermi level (states/eV/f.u.) = 13.2
# - total DFT energy (no corrections) (eV for the cell shown) = -97.15
data_AcSm4Y4
_chemical_formula_sum 'Ac2 Sm8 Y8'
_space_group_name_H-M_alt 'I 4/m m m'
_space_group_IT_number 139
_space_group_name_Hall '-I 4 2'
_cell_length_a 10.936
_cell_length_b 10.936
_cell_length_c 5.141
_cell_angle_alpha 90.00
_cell_angle_beta 90.00
_cell_angle_gamma 90.00
loop_
_atom_site_label
_atom_site_type_symbol
_atom_site_fract_x
_atom_site_fract_y
_atom_site_fract_z
Ac1 Ac 0.000 0.000 0.000
Sm1 Sm 0.000 0.335 0.000
Y1 Y 0.170 0.170 0.500

Record 7
# Ac8SmY6, relaxed, DFT PBE
# - formation energy from the elements (eV/atom) = 0.248
# - volume (Å³ per atom) = 41.54
# - density of states at the Fermi level (states/eV/f.u.) = 22.5
# - total DFT energy (no corrections) (eV for the cell shown) = -72.65
data_Ac8SmY6
_chemical_formula_sum 'Ac8 Sm1 Y6'
_space_group_name_H-M_alt 'P -3'
_space_group_IT_number 147
_cell_length_a 10.0165
_cell_length_b 10.0165
_cell_length_c 7.1712
_cell_angle_alpha 90.00
_cell_angle_beta 90.00
_cell_angle_gamma 120.00
loop_
_space_group_symop_operation_xyz
'x,y,z'
'-x,-y,-z'
'-y,x-y,z'
'y,-x+y,-z'
'-x+y,-x,z'
'x-y,x,-z'
loop_
_atom_site_label
_atom_site_type_symbol
_atom_site_fract_x
_atom_site_fract_y
_atom_site_fract_z
Ac1 Ac 0.0494 0.3567 0.1152
Ac2 Ac 0.3333 0.6667 0.7274
Sm1 Sm 0.0000 0.0000 0.5000
Y1 Y 0.0359 0.6705 0.4023

Record 8
# AcSm12Y2, relaxed, DFT PBE
# - formation energy from the elements (eV/atom) = 0.161
# - volume (Å³ per atom) = 34.94
# - density of states at the Fermi level (states/eV/f.u.) = 22.0
# - total DFT energy (no corrections) (eV for the cell shown) = -285.01
data_AcSm12Y2
_chemical_formula_sum 'Ac4 Sm48 Y8'
_space_group_name_H-M_alt 'C m m e'
_space_group_IT_number 67
_space_group_name_Hall '-C 2a 2'
_cell_length_a 7.185
_cell_length_b 11.561
_cell_length_c 25.239
_cell_angle_alpha 90.00
_cell_angle_beta 90.00
_cell_angle_gamma 90.00
loop_
_atom_site_label
_atom_site_type_symbol
_atom_site_fract_x
_atom_site_fract_y
_atom_site_fract_z
Ac1 Ac 0.000 0.250 0.010
Sm1 Sm 0.000 0.016 0.917
Sm2 Sm 0.000 0.022 0.441
Sm3 Sm 0.232 0.250 0.584
Sm4 Sm 0.242 0.250 0.139
Sm5 Sm 0.250 0.000 0.204
Sm6 Sm 0.250 0.000 0.328
Y1 Y 0.000 0.250 0.276
Y2 Y 0.000 0.250 0.730

Record 9
# Ac2Sm9Y, relaxed, DFT PBE
# - formation energy from the elements (eV/atom) = 0.034
# - volume (Å³ per atom) = 35.33
# - density of states at the Fermi level (states/eV/f.u.) = 20.5
# - total DFT energy (no corrections) (eV for the cell shown) = -56.75
data_Ac2Sm9Y
_chemical_formula_sum 'Ac2 Sm9 Y1'
_space_group_name_H-M_alt 'P 4/m m m'
_space_group_IT_number 123
_space_group_name_Hall '-P 4 2'
_cell_length_a 5.208
_cell_length_b 5.208
_cell_length_c 15.629
_cell_angle_alpha 90.00
_cell_angle_beta 90.00
_cell_angle_gamma 90.00
loop_
_atom_site_label
_atom_site_type_symbol
_atom_site_fract_x
_atom_site_fract_y
_atom_site_fract_z
Ac1 Ac 0.000 0.000 0.169
Sm1 Sm 0.000 0.500 0.000
Sm2 Sm 0.000 0.500 0.339
Sm3 Sm 0.500 0.500 0.170
Sm4 Sm 0.500 0.500 0.500
Y1 Y 0.000 0.000 0.500